No. 1
# InMoOs | the Alexandria database | GGA-PBEsol | relaxed
# * SG: No. 216
# * E_form: 1.525 eV/atom
# * excess energy over the best structure of this formula in the dataset: 1.080 eV per atom
data_InMoOs
_chemical_formula_sum 'In1 Mo1 Os1'
_space_group_name_H-M_alt 'P 1'
_space_group_IT_number 1
_cell_length_a 4.307
_cell_length_b 4.307
_cell_length_c 4.307
_cell_angle_alpha 60.00
_cell_angle_beta 60.00
_cell_angle_gamma 60.00
loop_
_space_group_symop_operation_xyz
'x,y,z'
loop_
_atom_site_label
_atom_site_fract_x
_atom_site_fract_y
_atom_site_fract_z
_atom_site_occupancy
Mo1 0.000 0.000 0.000 1
Os1 0.500 0.500 0.500 1
In1 0.250 0.250 0.250 1

No. 2
# CsLaTa6Br18 | the Alexandria database | GGA-PBEsol | relaxed
# * formation energy from raw total energies: -1143 meV per atom
# * SG: No. 163
data_CsLaTa6Br18
_chemical_formula_sum 'Cs2 La2 Ta12 Br36'
_space_group_name_H-M_alt 'P 1'
_space_group_IT_number 1
_cell_length_a 9.744
_cell_length_b 9.744
_cell_length_c 18.142
_cell_angle_alpha 90.00
_cell_angle_beta 90.00
_cell_angle_gamma 120.00
loop_
_space_group_symop_operation_xyz
'x,y,z'
loop_
_atom_site_label
_atom_site_fract_x
_atom_site_fract_y
_atom_site_fract_z
_atom_site_occupancy
Ta1 0.153 0.185 0.435 1
Ta2 0.815 0.847 0.065 1
Ta3 0.032 0.185 0.065 1
Ta4 0.968 0.153 0.565 1
Ta5 0.847 0.032 0.935 1
Ta6 0.185 0.153 0.935 1
Ta7 0.968 0.815 0.935 1
Ta8 0.153 0.968 0.065 1
Ta9 0.847 0.815 0.565 1
Ta10 0.032 0.847 0.435 1
Ta11 0.185 0.032 0.565 1
Ta12 0.815 0.968 0.435 1
Br1 0.039 0.230 0.839 1
Br2 0.069 0.439 0.158 1
Br3 0.191 0.230 0.661 1
Br4 0.730 0.580 0.000 1
Br5 0.961 0.770 0.161 1
Br6 0.931 0.370 0.658 1
Br7 0.420 0.270 0.500 1
Br8 0.770 0.809 0.839 1
Br9 0.230 0.039 0.339 1
Br10 0.561 0.931 0.342 1
Br11 0.730 0.150 0.500 1
Br12 0.370 0.439 0.342 1
Br13 0.561 0.630 0.158 1
Br14 0.039 0.809 0.661 1
Br15 0.580 0.730 0.500 1
Br16 0.420 0.150 0.000 1
Br17 0.770 0.961 0.661 1
Br18 0.370 0.931 0.158 1
Br19 0.850 0.580 0.500 1
Br20 0.439 0.370 0.842 1
Br21 0.230 0.191 0.161 1
Br22 0.630 0.069 0.842 1
Br23 0.439 0.069 0.658 1
Br24 0.270 0.420 0.000 1
Br25 0.809 0.770 0.339 1
Br26 0.630 0.561 0.658 1
Br27 0.191 0.961 0.839 1
Br28 0.069 0.630 0.342 1
Br29 0.961 0.191 0.339 1
Br30 0.580 0.850 0.000 1
Br31 0.931 0.561 0.842 1
Br32 0.270 0.850 0.500 1
Br33 0.809 0.039 0.161 1
Br34 0.150 0.420 0.500 1
Br35 0.150 0.730 0.000 1
Br36 0.850 0.270 0.000 1
La1 0.667 0.333 0.750 1
La2 0.333 0.667 0.250 1
Cs1 0.667 0.333 0.250 1
Cs2 0.333 0.667 0.750 1

Total magnetic moment? In order: 0.0; 0.0 μB per formula unit.
Calculated total energy? In order: -7.4638; -5.5754 eV/atom.